1.
A plane-wave DFT calculation with PBE-GGA was carried out for crystalline Ba2SiRh2 at its relaxed geometry.

Values from the calculation:
The theoretical density comes out at 7.18 g cm⁻³. The energy is -49.9 eV per cell.

```
Ba2SiRh2
1.0
6.7032 0.0000 0.0000
0.0000 6.7032 0.0000
0.0000 0.0000 5.2341
Si Rh Ba
2 4 4
direct
0.0000 0.0000 0.0000 Si
0.5000 0.5000 0.0000 Si
0.3563 0.8563 0.0000 Rh
0.8563 0.6437 0.0000 Rh
0.6437 0.1437 0.0000 Rh
0.1437 0.3563 0.0000 Rh
0.1827 0.6827 0.5000 Ba
0.6827 0.8173 0.5000 Ba
0.8173 0.3173 0.5000 Ba
0.3173 0.1827 0.5000 Ba
```


2.
A plane-wave DFT calculation with PBE-GGA was carried out for crystalline BaSi3Rh at its relaxed geometry.

Values from the calculation:
The theoretical density comes out at 5.31 g cm⁻³. The energy is -111.0 eV per cell.

```
BaSi3Rh
1.0
6.5459 0.0000 0.0000
0.0000 7.9631 -0.5681
0.0000 -3.2107 8.0163
Ba Si Rh
4 12 4
direct
0.9540 0.6353 0.2130 Ba
0.0460 0.3647 0.7870 Ba
0.4540 0.3647 0.2871 Ba
0.5460 0.6353 0.7130 Ba
0.1538 0.0610 0.3666 Si
0.8462 0.9390 0.6334 Si
0.6538 0.9390 0.1334 Si
0.3462 0.0610 0.8666 Si
0.5467 0.8311 0.4232 Si
0.4533 0.1689 0.5768 Si
0.0467 0.1689 0.0768 Si
0.9533 0.8311 0.9232 Si
0.0465 0.6590 0.5999 Si
0.9535 0.3410 0.4001 Si
0.5465 0.3410 0.9001 Si
0.4535 0.6590 0.0999 Si
0.2235 0.9183 0.5728 Rh
0.7765 0.0817 0.4272 Rh
0.7235 0.0817 0.9272 Rh
0.2765 0.9183 0.0728 Rh
```


3.
A plane-wave DFT calculation with PBE-GGA was carried out for crystalline BaSi6Rh12 at its relaxed geometry.

Values from the calculation:
The theoretical density comes out at 8.55 g cm⁻³. The energy is -136.6 eV per cell.

```
BaSi6Rh12
1.0
6.7729 -0.0724 -1.7860
-2.3006 6.3706 -1.7860
-0.0514 -0.0724 7.0042
Ba Si Rh
1 6 12
direct
0.0000 0.0000 0.0000 Ba
0.6759 0.2408 0.2408 Si
0.2408 0.2408 0.6759 Si
0.2408 0.6759 0.2408 Si
0.7592 0.7592 0.3241 Si
0.3241 0.7592 0.7592 Si
0.7592 0.3241 0.7592 Si
0.8673 0.1327 0.5000 Rh
0.8120 0.5512 0.5512 Rh
0.5512 0.5512 0.8120 Rh
0.4488 0.1880 0.4488 Rh
0.4488 0.4488 0.1880 Rh
0.1880 0.4488 0.4488 Rh
0.1327 0.5000 0.8673 Rh
0.5000 0.8673 0.1327 Rh
0.1327 0.8673 0.5000 Rh
0.8673 0.5000 0.1327 Rh
0.5000 0.1327 0.8673 Rh
0.5512 0.8120 0.5512 Rh
```


4.
A plane-wave DFT calculation with PBE-GGA was carried out for crystalline Ba2SiRh at its relaxed geometry.

Values from the calculation:
The theoretical density comes out at 5.64 g cm⁻³. The energy is -18.1 eV per cell.

```
Ba2SiRh
1.0
6.3756 -0.0051 -0.0067
5.0929 3.8354 -0.0067
2.3542 0.7863 4.8728
Ba Rh Si
2 1 1
direct
0.9665 0.9665 0.0333 Ba
0.7723 0.7723 0.7278 Ba
0.5797 0.5797 0.4205 Rh
0.1815 0.1815 0.3184 Si
```


5.
A plane-wave DFT calculation with PBE-GGA was carried out for crystalline BaSi4Rh4 at its relaxed geometry.

Values from the calculation:
The theoretical density comes out at 6.85 g cm⁻³. The energy is -120.4 eV per cell.

```
BaSi4Rh4
1.0
-3.8888 -1.5433 -0.0043
2.1555 -5.4495 6.5055
-2.4053 6.0445 5.8603
Ba Si Rh
2 8 8
direct
0.0000 0.0000 0.0000 Ba
0.5000 0.5000 0.5000 Ba
0.4999 0.8353 0.2808 Si
0.4999 0.1647 0.7192 Si
0.9999 0.7808 0.6647 Si
0.0001 0.3353 0.7808 Si
0.0001 0.6647 0.2192 Si
0.5001 0.2808 0.1647 Si
0.5001 0.7192 0.8353 Si
0.9999 0.2192 0.3353 Si
0.5001 0.3555 0.9086 Rh
0.0001 0.5914 0.8555 Rh
0.5001 0.6445 0.0914 Rh
0.9999 0.1445 0.5914 Rh
0.4999 0.9086 0.6445 Rh
0.9999 0.8555 0.4086 Rh
0.0001 0.4086 0.1445 Rh
0.4999 0.0914 0.3555 Rh
```


6.
A plane-wave DFT calculation with PBE-GGA was carried out for crystalline Ba2SiRh at its relaxed geometry.

Values from the calculation:
The theoretical density comes out at 6.40 g cm⁻³. The energy is -16.1 eV per cell.

```
Ba2SiRh
1.0
5.3081 -0.0006 0.0000
0.0443 5.3079 0.0000
-2.6762 -2.6536 3.7379
Ba Rh Si
2 1 1
direct
0.0000 0.0000 0.0000 Ba
0.2500 0.7500 0.5000 Ba
0.5000 0.5000 0.0000 Rh
0.7500 0.2500 0.5000 Si
```


no.,magnetic moment (μB per cell)
1,0.00
2,0.00
3,0.00
4,0.00
5,0.00
6,0.00